Record 1
Here is a relaxed structure of Be2InFe from the Alexandria database. Energies are from PBE-GGA.

Cell lengths 4.525, 4.525, 4.525 Å; angles 132.70, 132.70, 69.13 degrees
Positions (direct):
Be1 0.500 0.500 0.000
Be2 0.000 0.000 0.000
In1 0.750 0.250 0.500
Fe1 0.250 0.750 0.500

Results
symmetry: I4/mmm, No. 139
crystal system: tetragonal

***

Record 2
Here is a relaxed structure of K12Rb7Li from the Alexandria database. Energies are from PBE-GGA.

Cell lengths 14.002, 14.002, 14.002 Å; angles 109.47, 109.47, 109.47 degrees
Positions (direct):
Rb1 0.000 0.000 0.500
Rb2 0.500 0.500 0.000
Rb3 0.000 0.500 0.000
Rb4 0.500 0.000 0.500
Rb5 0.500 0.000 0.000
Rb6 0.000 0.500 0.500
Rb7 0.500 0.500 0.500
K1 0.749 0.392 0.643
K2 0.643 0.749 0.392
K3 0.749 0.105 0.357
K4 0.392 0.643 0.749
K5 0.251 0.608 0.357
K6 0.895 0.643 0.251
K7 0.357 0.749 0.105
K8 0.643 0.251 0.895
K9 0.251 0.895 0.643
K10 0.105 0.357 0.749
K11 0.357 0.251 0.608
K12 0.608 0.357 0.251
Li1 0.000 0.000 0.000

Results
symmetry: Im-3, No. 204
crystal system: cubic

***

Record 3
Here is a relaxed structure of ZnSe2Cl from the Alexandria database. Energies are from PBE-GGA.

Cell lengths 3.262, 3.262, 8.605 Å; angles 90.00, 90.00, 90.00 degrees
Positions (direct):
Zn1 0.000 0.000 0.493
Se1 0.500 0.500 0.266
Se2 0.000 0.000 0.085
Cl1 0.500 0.500 0.656

Results
symmetry: P4mm, No. 99
ΔE_f (raw): 0.093 eV/atom
crystal system: tetragonal
offset from the most stable computed form: 473.7 meV per atom

***

Record 4
Here is a relaxed structure of AcPrCuPd from the Alexandria database. Energies are from PBE-GGA.

Cell lengths 4.071, 4.649, 6.000 Å; angles 90.00, 109.83, 90.00 degrees
Positions (direct):
Pr1 0.865 0.500 0.730
Ac1 0.140 0.000 0.281
Pd1 0.569 0.500 0.138
Cu1 0.426 0.000 0.851

Results
symmetry: Amm2, No. 38
crystal system: orthorhombic
offset from the most stable computed form: 0.0 meV per atom

***

Record 5
Here is a relaxed structure of AcLa2Y2 from the Alexandria database. Energies are from PBE-GGA.

Cell lengths 6.448, 6.448, 9.971 Å; angles 112.65, 100.79, 96.59 degrees
Positions (direct):
Y1 0.625 0.740 0.480
Y2 0.375 0.260 0.520
Y3 0.739 0.355 0.980
Y4 0.261 0.645 0.020
La1 0.294 0.239 0.152
La2 0.913 0.358 0.652
La3 0.087 0.642 0.348
La4 0.706 0.761 0.848
Ac1 0.784 0.034 0.250
Ac2 0.216 0.966 0.750

Results
symmetry: C2/c, No. 15
crystal system: monoclinic
offset from the most stable computed form: 0.0 meV per atom

***

Record 6
Here is a relaxed structure of NbBSN2 from the Alexandria database. Energies are from PBE-GGA.

Cell lengths 3.951, 3.951, 5.227 Å; angles 90.00, 90.00, 90.00 degrees
Positions (direct):
B1 0.500 0.500 0.500
N1 0.000 0.500 0.000
N2 0.500 0.000 0.000
S1 0.000 0.000 0.500
Nb1 0.000 0.000 0.000

Results
symmetry: P4/mmm, No. 123
ΔE_f (raw): 1.167 eV/atom
crystal system: tetragonal
offset from the most stable computed form: 303.1 meV per atom

***

Total DFT energy (no corrections) (computed, Ry per atom): -0.3206, -0.0650, -0.1786, -0.3684, -0.3867, -0.4658
Mass density (computed, g/cm³): 6.4, 0.8, 4.7, 8.4, 6.2, 3.3